A relaxed structure of LiHfIr. Source: Alexandria via LeMat-Bulk, functional PBE.

Values from the calculation:
For the energy relative to the lowest polymorph listed for this composition, the calculation gives 0.093 eV/f.u. For the density of states at the Fermi level, the calculation gives 0.785 states/eV per atom. As for the space-group type: No. 59. Its energy of formation is -1.3 eV per formula unit. The value obtained for the volume is 17.219 Å³/atom.

a = 3.187 Å, b = 3.539 Å, c = 9.161 Å
α = 90.00°, β = 90.05°, γ = 90.00°
Fractional coordinates of all 6 atoms:
Li 0.373 0.791 0.686
Li 0.872 0.291 0.826
Ir 0.873 0.291 0.508
Ir 0.372 0.791 0.005
Hf 0.373 0.791 0.371
Hf 0.872 0.291 0.141

---

A relaxed structure of LiHf2Ir. Source: Alexandria via LeMat-Bulk, functional PBE.

Values from the calculation:
For the energy relative to the lowest polymorph listed for this composition, the calculation gives 0.203 eV/f.u. For the density of states at the Fermi level, the calculation gives 0.692 states/eV per atom. As for the space-group type: No. 123. Its energy of formation is -1.9 eV per formula unit. The value obtained for the volume is 17.448 Å³/atom.

a = 3.341 Å, b = 4.571 Å, c = 4.571 Å
α = 90.00°, β = 90.00°, γ = 90.00°
Fractional coordinates of all 4 atoms:
Ir 0.500 0.500 0.500
Hf 0.000 0.500 0.000
Hf 0.000 0.000 0.500
Li 0.500 0.000 0.000

---

A relaxed structure of LiHfIr. Source: Alexandria via LeMat-Bulk, functional PBE.

Values from the calculation:
For the energy relative to the lowest polymorph listed for this composition, the calculation gives 0.000 eV/f.u. For the density of states at the Fermi level, the calculation gives 0.657 states/eV per atom. As for the space-group type: No. 107. Its energy of formation is -1.4 eV per formula unit. The value obtained for the volume is 16.464 Å³/atom.

a = 3.406 Å, b = 3.406 Å, c = 4.891 Å
α = 110.38°, β = 110.38°, γ = 90.00°
Fractional coordinates of all 3 atoms:
Ir 0.955 0.955 0.910
Hf 0.603 0.603 0.207
Li 0.292 0.292 0.583